CaIn6Rh | Alexandria via LeMat-Bulk | PBE | relaxed; electronic total energy = -3.41 eV per atom; calculated formation energy = -185 meV/atom
1.0
-4.340 0.471 -0.637
0.135 -4.891 -4.537
-1.194 -3.431 5.597
Ca In Rh
1 6 1
Direct
0.500 0.107 0.893
0.500 0.141 0.395
0.500 0.605 0.859
0.000 0.419 0.203
0.000 0.797 0.581
0.000 0.330 0.670
0.000 0.883 0.117
0.500 0.717 0.283